(1)
A relaxed structure of Mo. Source: the Alexandria database, functional PBEsol.

Structure (extended XYZ):
```
2
Lattice="-1.5135 2.7882 2.3761 -3.3471 -0.7060 2.0024 0.1068 -0.4768 3.9334" Properties=species:S:1:pos:R:3 pbc="T T T"
Mo 0.0000 0.0000 0.0000
Mo -1.1884 0.4014 2.0780
```

SG = Fd-3m, No. 227
DFT formation energy = 2.39 eV per formula unit
relative energy among the computed polymorphs = 231 kJ/mol of formula units
VASP energy = -18.75 eV for the cell shown

(2)
A relaxed structure of RbPbS3. Source: the Alexandria database, functional PBEsol.

Structure (extended XYZ):
```
5
Lattice="-2.8360 2.7734 3.3989 -3.8547 0.3568 -3.5074 -2.0943 -4.4123 1.8529" Properties=species:S:1:pos:R:3 pbc="T T T"
Rb 0.0000 0.0000 0.0000
S -1.9273 0.1784 -1.7537
Pb -4.3925 -0.6410 0.8722
S -1.0472 -2.2061 0.9264
S -1.4180 1.3867 1.6995
```

SG = Pm-3m, No. 221
E_form (uncorrected) = 882 meV per atom
VASP energy = -13.77 eV for the cell shown

(3)
A relaxed structure of Ag2SbRu. Source: the Alexandria database, functional PBEsol.

Structure (extended XYZ):
```
4
Lattice="-1.5361 3.1239 -1.5885 -2.7391 0.0117 2.6719 4.7938 1.1170 2.1696" Properties=species:S:1:pos:R:3 pbc="T T T"
Ru -2.1376 1.5678 0.5417
Sb 0.0000 0.0000 0.0000
Ag -0.0414 1.3483 2.6916
Ag 0.5601 2.9043 0.5614
```

SG = I4/mmm, No. 139
E_form (uncorrected) = 297 meV per atom
VASP energy = -20.16 eV for the cell shown

(4)
A relaxed structure of ReMoIr2. Source: the Alexandria database, functional PBEsol.

Structure (extended XYZ):
```
4
Lattice="4.3776 0.0000 0.0000 2.1888 3.7911 0.0000 2.1888 1.2637 3.5743" Properties=species:S:1:pos:R:3 pbc="T T T"
Re 4.3776 2.5274 1.7871
Mo 0.0000 0.0000 0.0000
Ir 2.1888 1.2637 0.8936
Ir 6.5664 3.7911 2.6807
```

SG = Fm-3m, No. 225
DFT formation energy = 1.88 eV per formula unit
relative energy among the computed polymorphs = 316 kJ/mol of formula units
VASP energy = -42.87 eV for the cell shown

(5)
A relaxed structure of ScSi2Pb. Source: the Alexandria database, functional PBEsol.

Structure (extended XYZ):
```
4
Lattice="3.9545 0.0000 0.0000 0.0000 4.4576 0.0000 -1.9773 -2.2288 4.3467" Properties=species:S:1:pos:R:3 pbc="T T T"
Si 1.9773 2.2288 2.1261
Si 0.0000 0.0000 2.2207
Pb 1.9773 0.0000 0.0000
Sc 0.0000 2.2288 0.0000
```

SG = Immm, No. 71
E_form (uncorrected) = -20 meV per atom
VASP energy = -22.18 eV for the cell shown

(6)
A relaxed structure of CrHgRu2. Source: the Alexandria database, functional PBEsol.

Structure (extended XYZ):
```
4
Lattice="-0.4586 -3.0618 2.2537 3.6781 -1.0773 -0.7151 1.2058 2.0790 3.0698" Properties=species:S:1:pos:R:3 pbc="T T T"
Cr 2.2126 -1.0300 2.3042
Ru 0.6029 1.0395 1.5349
Hg -0.2293 -1.5309 1.1269
Ru 1.8390 -0.5386 -0.3576
```

SG = P4/mmm, No. 123
DFT formation energy = 2.10 eV per formula unit
VASP energy = -29.05 eV for the cell shown